DFT (PBE-GGA) results for an optimized crystal structure of UAl2AuO8.

Properties
E_form (uncorrected) ... -25.34 eV per formula unit
Total magnetic moment ... 0.81 μB per formula unit

```
UAl2AuO8
1.0
4.7256 -0.1130 -0.0832
-0.0840 4.7238 0.0751
-0.1012 0.1128 6.1532
U Al Au O
1 2 1 8
Direct
0.0000 0.0000 0.0000
0.4933 0.5067 0.7406
0.5067 0.4933 0.2594
0.0000 0.0000 0.5000
0.2236 0.7755 0.2276
0.6827 0.6835 0.0000
0.7905 0.2102 0.2518
0.7764 0.2245 0.7724
0.3173 0.3165 0.0000
0.2095 0.7898 0.7482
0.6825 0.6833 0.5000
0.3175 0.3167 0.5000
```